VASP calculation (PBE-GGA) on a geometry-optimized Ce5TlOs2 structure.

Unit cell a=7.8425 b=7.8425 c=8.7461 alpha=116.64 beta=116.64 gamma=90.00
Each line ends with the local moment (μB).
Element x y z (fractional)
Tl: 0.2500 0.2500 0.5000  -0.01
Ce: 0.9744 0.4744 0.2669  0.42
Ce: 0.7075 0.2075 0.7331  0.42
Ce: 0.0256 0.5256 0.7331  0.42
Os: 0.8600 0.6400 0.0000  -0.07
Tl: 0.7500 0.7500 0.5000  -0.01
Ce: 0.4744 0.2925 0.2669  0.42
Ce: 0.7925 0.9744 0.2669  0.42
Ce: 0.5256 0.7075 0.7331  0.42
Ce: 0.2075 0.0256 0.7331  0.42
Ce: 0.2925 0.7925 0.2669  0.42
Ce: 0.0000 0.0000 0.0000  0.21
Ce: 0.5000 0.5000 0.0000  0.21
Os: 0.6400 0.1400 0.0000  -0.07
Os: 0.3600 0.8600 0.0000  -0.07
Os: 0.1400 0.3600 0.0000  -0.07

Calculated volume   208 Å³/f.u.
Space-group type   No. 140
Magnetization   4.5 μB/cell
Calculated formation energy   -228.5 meV/atom